# 1
## LiIrRh2 (PBE)

Data for a relaxed structure of LiIrRh2.

```
data_LiIrRh2
_chemical_formula_sum 'Li2 Ir2 Rh4'
_symmetry_space_group_name_H-M 'C 1 2/m 1'
_symmetry_Int_Tables_number 12
_symmetry_space_group_name_Hall '-C 2y'
_cell_length_a 8.886
_cell_length_b 2.694
_cell_length_c 4.649
_cell_angle_alpha 90.00
_cell_angle_beta 98.28
_cell_angle_gamma 90.00
loop_
_atom_site_label
_atom_site_type_symbol
_atom_site_fract_x
_atom_site_fract_y
_atom_site_fract_z
_atom_site_occupancy
Li1 Li 0.000 0.000 0.000 1
Ir1 Ir 0.000 0.500 0.500 1
Rh1 Rh 0.244 0.000 0.749 1
```

Summary:
energy relative to the lowest polymorph listed for this composition: 48 meV per atom
DOS at the Fermi energy: 7.88 states/eV per cell

=====

# 2
## BeFeSi (PBE)

Data for a relaxed structure of BeFeSi.

```
data_BeFeSi
_chemical_formula_sum 'Be4 Fe4 Si4'
_symmetry_space_group_name_H-M 'F -4 3 m'
_symmetry_Int_Tables_number 216
_symmetry_space_group_name_Hall 'F -4 2 3'
_cell_length_a 5.229
_cell_length_b 5.229
_cell_length_c 5.229
_cell_angle_alpha 90.00
_cell_angle_beta 90.00
_cell_angle_gamma 90.00
loop_
_atom_site_label
_atom_site_type_symbol
_atom_site_fract_x
_atom_site_fract_y
_atom_site_fract_z
_atom_site_occupancy
Be1 Be 0.000 0.000 0.000 1
Fe1 Fe 0.250 0.250 0.250 1
Si1 Si 0.000 0.000 0.500 1
```

Summary:
DOS at the Fermi energy: 6.77 states/eV per cell
formation energy (no corrections): 0.02 eV/atom

=====

Q: Look up the DOS at the Fermi energy of the first one.
A: 7.88 states/eV per cell

=====

Repeat the second record exactly.
## BeFeSi (PBE)

Data for a relaxed structure of BeFeSi.

```
data_BeFeSi
_chemical_formula_sum 'Be4 Fe4 Si4'
_symmetry_space_group_name_H-M 'F -4 3 m'
_symmetry_Int_Tables_number 216
_symmetry_space_group_name_Hall 'F -4 2 3'
_cell_length_a 5.229
_cell_length_b 5.229
_cell_length_c 5.229
_cell_angle_alpha 90.00
_cell_angle_beta 90.00
_cell_angle_gamma 90.00
loop_
_atom_site_label
_atom_site_type_symbol
_atom_site_fract_x
_atom_site_fract_y
_atom_site_fract_z
_atom_site_occupancy
Be1 Be 0.000 0.000 0.000 1
Fe1 Fe 0.250 0.250 0.250 1
Si1 Si 0.000 0.000 0.500 1
```

Summary:
DOS at the Fermi energy: 6.77 states/eV per cell
formation energy (no corrections): 0.02 eV/atom

=====

Q: The highest DOS at the Fermi energy belongs to which entry?
A: LiIrRh2

=====

Q: Which of these has the highest DOS at the Fermi energy?
A: LiIrRh2